Compound: NbZnIrAu
Source: the Alexandria database
Functional: PBE-GGA
Structure: optimized geometry

The density of states at the Fermi level comes out at 0.56 states/eV per atom. The value obtained for the volume is 64 Å³/f.u. The calculation puts the total energy at -6.196 eV per atom.

The structure belongs to space group P4mm (No. 99); the cell edges are 2.9415, 2.9415 and 7.4361 Å and the angles 90.00°, 90.00° and 90.00°. The distinct sites, in fractional coordinates, are Nb at (0.0000, 0.0000, 0.0000), Zn at (0.0000, 0.0000, 0.5352), Ir at (0.5000, 0.5000, 0.7592) and Au at (0.5000, 0.5000, 0.2849).



Compound: Nb2TlTeO
Source: the Alexandria database
Functional: PBE-GGA
Structure: optimized geometry

The density of states at the Fermi level comes out at 1.56 states/eV per atom. The calculation puts the formation energy without anion corrections at 762 meV per atom. The value obtained for the volume is 113 Å³/f.u.

The structure belongs to space group P4/mmm (No. 123); the cell edges are 5.3034, 5.3034 and 4.0162 Å and the angles 90.00°, 90.00° and 90.00°. The distinct sites, in fractional coordinates, are Nb at (0.0000, 0.5000, 0.0000), Tl at (0.0000, 0.0000, 0.5000), Te at (0.5000, 0.5000, 0.0000) and O at (0.5000, 0.5000, 0.5000).



- The lowest volume belongs to which entry?
  NbZnIrAu



- What is the volume in the second record?
  113 Å³/f.u.